# SiMoRu, single point on PBEsol structure, DFT meta-GGA SCAN
# energy relative to the elements, uncorrected: -1.1 eV/f.u.
data_SiMoRu
_chemical_formula_sum 'Si1 Mo1 Ru1'
_cell_length_a 4.1350
_cell_length_b 4.1350
_cell_length_c 2.7686
_cell_angle_alpha 90.00
_cell_angle_beta 90.00
_cell_angle_gamma 120.00
_symmetry_space_group_name_H-M 'P -6 m 2'
_symmetry_Int_Tables_number 187
_symmetry_space_group_name_Hall 'P -6 2'
loop_
_atom_site_label
_atom_site_type_symbol
_atom_site_fract_x
_atom_site_fract_y
_atom_site_fract_z
_atom_site_occupancy
Si1 Si 0.0000 0.0000 0.0000 1
Mo1 Mo 0.6667 0.3333 0.5000 1
Ru1 Ru 0.3333 0.6667 0.0000 1

# LiSiNO, single point on PBEsol structure, DFT meta-GGA SCAN
# energy relative to the elements, uncorrected: -8.3 eV/f.u.
data_LiSiNO
_chemical_formula_sum 'Li4 Si4 N4 O4'
_cell_length_a 5.195
_cell_length_b 6.359
_cell_length_c 4.746
_cell_angle_alpha 90.00
_cell_angle_beta 90.00
_cell_angle_gamma 90.00
_symmetry_space_group_name_H-M 'P c a 21'
_symmetry_Int_Tables_number 29
_symmetry_space_group_name_Hall 'P 2c -2ac'
loop_
_atom_site_label
_atom_site_type_symbol
_atom_site_fract_x
_atom_site_fract_y
_atom_site_fract_z
_atom_site_occupancy
Li1 Li 0.097 0.114 0.000 1
Si1 Si 0.080 0.621 0.989 1
N1 N 0.108 0.587 0.354 1
O1 O 0.041 0.154 0.407 1

# Tl2TeBr, single point on PBEsol structure, DFT meta-GGA SCAN
# energy relative to the elements, uncorrected: -1.9 eV/f.u.
# excess energy over the best structure of this formula in the dataset: 0 meV/atom
data_Tl2TeBr
_chemical_formula_sum 'Tl2 Te1 Br1'
_cell_length_a 4.485
_cell_length_b 4.485
_cell_length_c 6.488
_cell_angle_alpha 90.00
_cell_angle_beta 90.00
_cell_angle_gamma 90.00
_symmetry_space_group_name_H-M 'P 4/m m m'
_symmetry_Int_Tables_number 123
_symmetry_space_group_name_Hall '-P 4 2'
loop_
_atom_site_label
_atom_site_type_symbol
_atom_site_fract_x
_atom_site_fract_y
_atom_site_fract_z
_atom_site_occupancy
Tl1 Tl 0.000 0.000 0.000 1
Tl2 Tl 0.500 0.500 0.500 1
Te1 Te 0.000 0.000 0.500 1
Br1 Br 0.500 0.500 0.000 1